# 1
The following is a PBE-GGA calculation of an optimized crystal structure of La2YCd, from Alexandria.

a = 3.814 Å, b = 3.814 Å, c = 9.086 Å
α = 90.00°, β = 90.00°, γ = 90.00°
Fractional positions:
Y 0.500 0.500 0.250
Cd 0.500 0.500 0.750
La 0.000 0.000 0.977
La 0.000 0.000 0.523

Computed properties:
The formation energy comes out at -0.53 eV/f.u. As for the total magnetization: 0.00 Bohr magnetons per cell. As for the symmetry: P4/mmm.

# 2
The following is a PBE-GGA calculation of an optimized crystal structure of La2TeSe2, from Alexandria.

a = 4.751 Å, b = 4.751 Å, c = 8.109 Å
α = 72.96°, β = 72.96°, γ = 90.00°
Fractional positions:
Te 0.000 0.000 0.000
Se 0.750 0.250 0.500
Se 0.250 0.750 0.500
La 0.363 0.363 0.274
La 0.637 0.637 0.726

Computed properties:
Its energy above the most stable polymorph in this dataset is 1.33 eV per formula unit. As for the total magnetization: 0.00 Bohr magnetons per cell. For the uncorrected formation energy, the calculation gives -1.598 eV/atom. As for the symmetry: I4/mmm.

# 3
The following is a PBE-GGA calculation of an optimized crystal structure of KCdInBi2, from Alexandria.

a = 4.903 Å, b = 4.903 Å, c = 8.078 Å
α = 107.67°, β = 107.67°, γ = 90.00°
Fractional positions:
K 0.000 0.000 0.000
Cd 0.750 0.250 0.500
In 0.250 0.750 0.500
Bi 0.622 0.622 0.243
Bi 0.378 0.378 0.757

Computed properties:
The formation energy comes out at -0.98 eV/f.u. Its energy above the most stable polymorph in this dataset is 0.00 eV per formula unit. As for the total magnetization: 0.00 Bohr magnetons per cell. As for the symmetry: I-4m2.

# 4
The following is a PBE-GGA calculation of an optimized crystal structure of BaCaSn3, from Alexandria.

a = 9.366 Å, b = 9.366 Å, c = 17.424 Å
α = 90.00°, β = 90.00°, γ = 118.57°
Fractional positions:
Ca 0.876 0.144 0.228
Ca 0.856 0.124 0.772
Ca 0.624 0.356 0.728
Ca 0.644 0.376 0.272
Ca 0.356 0.624 0.728
Ca 0.376 0.644 0.272
Ca 0.144 0.876 0.228
Ca 0.124 0.856 0.772
Ba 0.324 0.324 0.914
Ba 0.283 0.717 0.500
Ba 0.676 0.676 0.086
Ba 0.176 0.176 0.414
Ba 0.717 0.283 0.500
Ba 0.217 0.783 0.000
Ba 0.824 0.824 0.586
Ba 0.783 0.217 0.000
Sn 0.303 0.066 0.592
Sn 0.197 0.434 0.092
Sn 0.434 0.434 0.585
Sn 0.041 0.488 0.836
Sn 0.780 0.780 0.281
Sn 0.541 0.988 0.664
Sn 0.988 0.541 0.664
Sn 0.066 0.303 0.592
Sn 0.459 0.012 0.336
Sn 0.959 0.512 0.164
Sn 0.434 0.197 0.092
Sn 0.720 0.720 0.781
Sn 0.566 0.566 0.415
Sn 0.280 0.280 0.219
Sn 0.803 0.566 0.908
Sn 0.566 0.803 0.908
Sn 0.488 0.041 0.836
Sn 0.066 0.066 0.085
Sn 0.012 0.459 0.336
Sn 0.220 0.220 0.719
Sn 0.934 0.697 0.408
Sn 0.512 0.959 0.164
Sn 0.697 0.934 0.408
Sn 0.934 0.934 0.915

Computed properties:
The formation energy comes out at -3.06 eV/f.u. Its energy above the most stable polymorph in this dataset is 0.00 eV per formula unit. As for the total magnetization: 0.00 Bohr magnetons per cell. As for the symmetry: Cmce.

# 5
The following is a PBE-GGA calculation of an optimized crystal structure of Na2NiCN2, from Alexandria.

a = 3.436 Å, b = 5.197 Å, c = 8.444 Å
α = 90.00°, β = 90.00°, γ = 90.00°
Site moments in Bohr magnetons follow the coordinates.
Fractional positions:
Na 0.500 0.002 0.228  0.00
Na 0.000 0.502 0.272  0.00
Na 0.500 0.998 0.772  0.00
Na 0.000 0.498 0.728  0.00
Ni 0.500 0.500 0.000  0.30
Ni 0.000 0.000 0.500  0.30
C 0.000 0.000 0.000  -0.01
C 0.500 0.500 0.500  -0.01
N 0.500 0.744 0.500  0.01
N 0.500 0.256 0.500  0.01
N 0.000 0.756 0.000  0.01
N 0.000 0.244 0.000  0.01

Computed properties:
As for the total magnetization: 0.58 Bohr magnetons per cell. For the uncorrected formation energy, the calculation gives 0.173 eV/atom. As for the symmetry: Pnnm.

# 6
The following is a PBE-GGA calculation of an optimized crystal structure of Fe2MoBr, from Alexandria.

a = 5.072 Å, b = 5.072 Å, c = 5.072 Å
α = 137.04°, β = 137.04°, γ = 62.38°
Site moments in Bohr magnetons follow the coordinates.
Fractional positions:
Br 0.750 0.250 0.500  0.07
Fe 0.000 0.000 0.000  2.62
Fe 0.500 0.500 0.000  2.62
Mo 0.250 0.750 0.500  -0.70

Computed properties:
Its energy above the most stable polymorph in this dataset is 2.39 eV per formula unit. As for the total magnetization: 4.60 Bohr magnetons per cell. For the uncorrected formation energy, the calculation gives 1.021 eV/atom. As for the symmetry: I4/mmm.

# 7
The following is a PBE-GGA calculation of an optimized crystal structure of LiMoIr, from Alexandria.

a = 7.281 Å, b = 7.068 Å, c = 2.692 Å
α = 83.68°, β = 74.76°, γ = 21.56°
Fractional positions:
Ir 0.000 0.000 0.000
Li 0.340 0.340 0.660
Mo 0.660 0.660 0.340

Computed properties:
The formation energy comes out at 0.40 eV/f.u. Its energy above the most stable polymorph in this dataset is 0.49 eV per formula unit. As for the total magnetization: 0.00 Bohr magnetons per cell. As for the symmetry: Fmm2.

# 8
The following is a PBE-GGA calculation of an optimized crystal structure of SrAcNd2S4, from Alexandria.

a = 4.147 Å, b = 7.264 Å, c = 7.225 Å
α = 70.92°, β = 90.00°, γ = 90.00°
Fractional positions:
Sr 0.000 0.500 0.500
Ac 0.500 0.500 0.000
Nd 0.000 0.000 0.000
Nd 0.500 0.000 0.500
S 0.000 0.762 0.742
S 0.000 0.238 0.258
S 0.500 0.760 0.249
S 0.500 0.240 0.751

Computed properties:
As for the total magnetization: 0.00 Bohr magnetons per cell. For the uncorrected formation energy, the calculation gives -2.026 eV/atom. As for the symmetry: P2/m.

# 9
The following is a PBE-GGA calculation of an optimized crystal structure of Ba8AgRh3I4, from Alexandria.

a = 9.336 Å, b = 10.164 Å, c = 9.337 Å
α = 117.36°, β = 120.00°, γ = 90.00°
Fractional positions:
Ba 0.244 0.702 0.958
Ba 0.244 0.702 0.489
Ba 0.267 0.301 0.534
Ba 0.714 0.702 0.958
Ba 0.286 0.298 0.042
Ba 0.733 0.699 0.466
Ba 0.756 0.298 0.511
Ba 0.756 0.298 0.042
Ag 0.000 0.500 0.000
Rh 0.500 0.500 0.000
Rh 0.500 0.500 0.500
Rh 0.000 0.500 0.500
I 0.500 0.000 0.000
I 0.500 0.000 0.500
I 0.000 0.000 0.000
I 0.000 0.000 0.500

Computed properties:
As for the total magnetization: 0.00 Bohr magnetons per cell. For the uncorrected formation energy, the calculation gives -0.800 eV/atom. As for the symmetry: R-3m.

# 10
The following is a PBE-GGA calculation of an optimized crystal structure of TiCoTc2C, from Alexandria.

a = 4.100 Å, b = 4.100 Å, c = 3.713 Å
α = 90.00°, β = 90.00°, γ = 90.00°
Fractional positions:
C 0.000 0.000 0.000
Co 0.000 0.000 0.500
Tc 0.000 0.500 0.000
Tc 0.500 0.000 0.000
Ti 0.500 0.500 0.500

Computed properties:
The formation energy comes out at -1.12 eV/f.u. As for the total magnetization: 0.00 Bohr magnetons per cell. As for the symmetry: P4/mmm.

# 11
The following is a PBE-GGA calculation of an optimized crystal structure of YNiSb2, from Alexandria.

a = 5.649 Å, b = 5.649 Å, c = 5.649 Å
α = 134.45°, β = 134.45°, γ = 66.39°
Site moments in Bohr magnetons follow the coordinates.
Fractional positions:
Ni 0.750 0.250 0.500  0.41
Sb 0.000 0.000 0.000  0.02
Sb 0.500 0.500 0.000  0.02
Y 0.250 0.750 0.500  0.04

Computed properties:
As for the total magnetization: 0.55 Bohr magnetons per cell. For the uncorrected formation energy, the calculation gives -0.172 eV/atom. As for the symmetry: I4/mmm.

# 12
The following is a PBE-GGA calculation of an optimized crystal structure of NaGd2Hg, from Alexandria.

a = 3.556 Å, b = 3.556 Å, c = 12.109 Å
α = 81.56°, β = 81.56°, γ = 60.00°
Site moments in Bohr magnetons follow the coordinates.
Fractional positions:
Na 0.000 0.000 0.000  0.00
Gd 0.099 0.099 0.704  7.20
Gd 0.901 0.901 0.296  7.20
Hg 0.500 0.500 0.500  0.00

Computed properties:
The formation energy comes out at 0.10 eV/f.u. Its energy above the most stable polymorph in this dataset is 0.52 eV per formula unit. As for the total magnetization: 15.11 Bohr magnetons per cell. As for the symmetry: R-3m.

# 13
The following is a PBE-GGA calculation of an optimized crystal structure of Sr2Zn2CuPt5, from Alexandria.

a = 3.785 Å, b = 9.838 Å, c = 9.838 Å
α = 90.00°, β = 90.00°, γ = 90.00°
Fractional positions:
Sr 0.000 0.679 0.179
Sr 0.000 0.321 0.821
Sr 0.000 0.179 0.321
Sr 0.000 0.821 0.679
Zn 0.000 0.123 0.623
Zn 0.000 0.877 0.377
Zn 0.000 0.623 0.877
Zn 0.000 0.377 0.123
Cu 0.000 0.000 0.000
Cu 0.000 0.500 0.500
Pt 0.500 0.200 0.057
Pt 0.500 0.800 0.943
Pt 0.500 0.057 0.800
Pt 0.500 0.700 0.443
Pt 0.500 0.943 0.200
Pt 0.500 0.300 0.557
Pt 0.500 0.557 0.700
Pt 0.500 0.443 0.300
Pt 0.500 0.500 0.000
Pt 0.500 0.000 0.500

Computed properties:
The formation energy comes out at -5.14 eV/f.u. As for the total magnetization: 0.00 Bohr magnetons per cell. As for the symmetry: P4/mbm.

# 14
The following is a PBE-GGA calculation of an optimized crystal structure of Pm2TlPt2, from Alexandria.

a = 3.741 Å, b = 8.003 Å, c = 8.003 Å
α = 90.00°, β = 90.00°, γ = 90.00°
Fractional positions:
Pm 0.500 0.172 0.672
Pm 0.500 0.672 0.828
Pm 0.500 0.828 0.328
Pm 0.500 0.328 0.172
Tl 0.000 0.000 0.000
Tl 0.000 0.500 0.500
Pt 0.000 0.373 0.873
Pt 0.000 0.873 0.627
Pt 0.000 0.627 0.127
Pt 0.000 0.127 0.373

Computed properties:
The formation energy comes out at -4.83 eV/f.u. As for the total magnetization: 0.00 Bohr magnetons per cell. As for the symmetry: P4/mbm.

# 15
The following is a PBE-GGA calculation of an optimized crystal structure of GaAsOF2, from Alexandria.

a = 4.160 Å, b = 4.160 Å, c = 3.697 Å
α = 90.00°, β = 90.00°, γ = 90.00°
Fractional positions:
As 0.500 0.500 0.500
O 0.000 0.000 0.500
Ga 0.000 0.000 0.000
F 0.000 0.500 0.000
F 0.500 0.000 0.000

Computed properties:
Its energy above the most stable polymorph in this dataset is 0.94 eV per formula unit. As for the total magnetization: 0.08 Bohr magnetons per cell. For the uncorrected formation energy, the calculation gives -1.079 eV/atom. As for the symmetry: P4/mmm.

# 16
The following is a PBE-GGA calculation of an optimized crystal structure of K3Al2Te4, from Alexandria.

a = 7.763 Å, b = 9.599 Å, c = 9.599 Å
α = 75.94°, β = 87.73°, γ = 87.73°
Fractional positions:
K 0.945 0.988 0.254
K 0.555 0.746 0.012
K 0.055 0.012 0.746
K 0.445 0.254 0.988
K 0.250 0.601 0.399
K 0.750 0.399 0.601
Al 0.425 0.167 0.416
Al 0.075 0.584 0.833
Al 0.575 0.833 0.584
Al 0.925 0.416 0.167
Te 0.473 0.937 0.302
Te 0.027 0.698 0.063
Te 0.527 0.063 0.698
Te 0.973 0.302 0.937
Te 0.091 0.262 0.402
Te 0.409 0.598 0.738
Te 0.909 0.738 0.598
Te 0.591 0.402 0.262

Computed properties:
As for the total magnetization: 0.00 Bohr magnetons per cell. For the uncorrected formation energy, the calculation gives -0.736 eV/atom. As for the symmetry: C2/c.

# 17
The following is a PBE-GGA calculation of an optimized crystal structure of TbSc2Si4, from Alexandria.

a = 3.786 Å, b = 4.036 Å, c = 8.917 Å
α = 103.08°, β = 102.26°, γ = 90.00°
Fractional positions:
Tb 0.500 0.000 0.000
Sc 0.816 0.816 0.633
Sc 0.184 0.184 0.367
Si 0.655 0.655 0.311
Si 0.345 0.345 0.689
Si 0.069 0.569 0.138
Si 0.931 0.431 0.862

Computed properties:
As for the total magnetization: 0.00 Bohr magnetons per cell. For the uncorrected formation energy, the calculation gives -0.742 eV/atom. As for the symmetry: Immm.

# 18
The following is a PBE-GGA calculation of an optimized crystal structure of Na2Tl2Sn, from Alexandria.

a = 4.423 Å, b = 4.423 Å, c = 8.140 Å
α = 74.24°, β = 74.24°, γ = 90.00°
Fractional positions:
Na 0.750 0.250 0.500
Na 0.250 0.750 0.500
Tl 0.402 0.402 0.196
Tl 0.598 0.598 0.804
Sn 0.000 0.000 0.000

Computed properties:
The formation energy comes out at 0.29 eV/f.u. Its energy above the most stable polymorph in this dataset is 0.85 eV per formula unit. As for the total magnetization: 0.00 Bohr magnetons per cell. As for the symmetry: I4/mmm.

# 19
The following is a PBE-GGA calculation of an optimized crystal structure of Re2Hg, from Alexandria.

a = 6.327 Å, b = 6.327 Å, c = 6.327 Å
α = 90.00°, β = 90.00°, γ = 90.00°
Site moments in Bohr magnetons follow the coordinates.
Fractional positions:
Re 0.103 0.603 0.897  0.17
Re 0.103 0.897 0.397  0.17
Re 0.397 0.103 0.897  0.17
Re 0.397 0.397 0.397  0.17
Re 0.603 0.603 0.603  0.17
Re 0.603 0.897 0.103  0.17
Re 0.897 0.103 0.603  0.17
Re 0.897 0.397 0.103  0.17
Hg 0.000 0.000 0.000  0.01
Hg 0.000 0.500 0.500  0.01
Hg 0.500 0.000 0.500  0.01
Hg 0.500 0.500 0.000  0.01

Computed properties:
The formation energy comes out at 5.86 eV/f.u. Its energy above the most stable polymorph in this dataset is 4.66 eV per formula unit. As for the total magnetization: 1.58 Bohr magnetons per cell. As for the symmetry: Pa-3.

# 20
The following is a PBE-GGA calculation of an optimized crystal structure of Y2AsBr, from Alexandria.

a = 3.608 Å, b = 3.608 Å, c = 8.196 Å
α = 63.85°, β = 90.00°, γ = 90.00°
Site moments in Bohr magnetons follow the coordinates.
Fractional positions:
Y 0.000 0.970 0.030  0.38
Y 0.000 0.530 0.470  0.38
As 0.500 0.250 0.250  -0.02
Br 0.500 0.750 0.750  0.00

Computed properties:
As for the total magnetization: 1.28 Bohr magnetons per cell. For the uncorrected formation energy, the calculation gives -1.052 eV/atom. As for the symmetry: P4/mmm.

# 21
The following is a PBE-GGA calculation of an optimized crystal structure of Sr2ScBr, from Alexandria.

a = 6.490 Å, b = 6.490 Å, c = 6.490 Å
α = 131.08°, β = 131.08°, γ = 71.69°
Site moments in Bohr magnetons follow the coordinates.
Fractional positions:
Br 0.250 0.750 0.500  0.01
Sc 0.750 0.250 0.500  0.88
Sr 0.000 0.000 0.000  0.09
Sr 0.500 0.500 0.000  0.09

Computed properties:
Its energy above the most stable polymorph in this dataset is 2.00 eV per formula unit. As for the total magnetization: 2.15 Bohr magnetons per cell. For the uncorrected formation energy, the calculation gives -0.028 eV/atom. As for the symmetry: I4/mmm.

# 22
The following is a PBE-GGA calculation of an optimized crystal structure of RbTl2F3, from Alexandria.

a = 3.680 Å, b = 7.113 Å, c = 11.145 Å
α = 90.00°, β = 90.00°, γ = 90.00°
Fractional positions:
Rb 0.000 0.976 0.908
Rb 0.000 0.476 0.092
Tl 0.000 0.006 0.248
Tl 0.500 0.045 0.579
Tl 0.000 0.506 0.752
Tl 0.500 0.545 0.421
F 0.500 0.133 0.095
F 0.500 0.191 0.772
F 0.000 0.351 0.339
F 0.500 0.633 0.905
F 0.500 0.691 0.228
F 0.000 0.851 0.661

Computed properties:
Its energy above the most stable polymorph in this dataset is 0.00 eV per formula unit. As for the total magnetization: 0.00 Bohr magnetons per cell. For the uncorrected formation energy, the calculation gives -2.029 eV/atom. As for the symmetry: Pmc2_1.

# 23
The following is a PBE-GGA calculation of an optimized crystal structure of HoNpCd, from Alexandria.

a = 5.898 Å, b = 5.898 Å, c = 8.597 Å
α = 133.70°, β = 133.70°, γ = 53.72°
Site moments in Bohr magnetons follow the coordinates.
Fractional positions:
Np 0.937 0.937 0.810  2.83
Np 0.063 0.063 0.190  2.83
Cd 0.542 0.542 0.707  0.00
Cd 0.458 0.458 0.293  0.00
Ho 0.247 0.247 0.764  0.06
Ho 0.753 0.753 0.236  0.06

Computed properties:
The formation energy comes out at 0.75 eV/f.u. As for the total magnetization: 6.02 Bohr magnetons per cell. As for the symmetry: C2/m.